! PBE DyHo3Ir4, relaxed; values from VASP
! ΔH_f (0 K) (eV per formula unit): -6.757
! Theoretical density (g cm⁻³): 14.893
! Space group: Pmmm
! Volume (Å³/cell): 159.0
&SYSTEM
  ibrav = 0, nat = 8, ntyp = 3
/
ATOMIC_SPECIES
Ir 192.22 Ir.upf
Ho 164.93 Ho.upf
Dy 162.50 Dy.upf
CELL_PARAMETERS angstrom
3.572 0.000 0.000
0.000 4.718 0.000
0.000 0.000 9.435
ATOMIC_POSITIONS crystal
Ir 0.000 0.000 0.000
Ir 0.000 0.500 0.749
Ir 0.000 0.500 0.251
Ir 0.000 0.000 0.500
Ho 0.500 0.500 0.500
Ho 0.500 0.000 0.250
Ho 0.500 0.000 0.750
Dy 0.500 0.500 0.000

***

! PBE Dy3HoIr3, relaxed; values from VASP
! ΔH_f (0 K) (eV per formula unit): -5.173
! Theoretical density (g cm⁻³): 12.835
! Space group: R-3m
! Volume (Å³/cell): 159.0
&SYSTEM
  ibrav = 0, nat = 7, ntyp = 3
/
ATOMIC_SPECIES
Ho 164.93 Ho.upf
Dy 162.50 Dy.upf
Ir 192.22 Ir.upf
CELL_PARAMETERS angstrom
0.564 -1.811 -5.595
2.429 -4.000 3.629
-5.730 0.619 1.296
ATOMIC_POSITIONS crystal
Ho 0.000 0.503 0.000
Dy 0.500 0.004 0.000
Dy 0.000 0.004 0.500
Dy 0.500 0.504 0.500
Ir 0.000 0.504 0.500
Ir 0.500 0.004 0.500
Ir 0.500 0.504 0.000